Compound: Cd2TeOs
Source: the Alexandria database
Functional: PBE-GGA
Structure: optimized geometry

The energy comes out at -3.375 eV per atom. Its formation energy from raw total energies is 0.676 eV per atom. The value obtained for the density of states at the Fermi level is 9.8 states/eV per cell. Its density is 10.88 Mg/m³.

Unit cell a=5.7423 b=10.4807 c=3.3751 alpha=90.00 beta=125.39 gamma=90.00
With the nearest neighbours (Å) after each atom.
Fractional coordinates of all 8 atoms:
Cd (0.2500, 0.2500, 0.0000)  4 Cd 2.87-2.90, 2 Os 2.99, 2 Te 2.99
Cd (0.2500, 0.7500, 0.0000)  4 Cd 2.87-2.90, 2 Os 2.99, 2 Te 2.99
Cd (0.7500, 0.2500, 0.0000)  4 Cd 2.87-2.90, 2 Os 2.99, 2 Te 2.99
Cd (0.7500, 0.7500, 0.0000)  4 Cd 2.87-2.90, 2 Te 2.99, 2 Os 2.99
Te (0.0000, 0.0000, 0.0000)  4 Os 2.87-2.90, 4 Cd 2.99
Te (0.5000, 0.5000, 0.0000)  4 Os 2.87-2.90, 4 Cd 2.99
Os (0.0000, 0.5000, 0.0000)  4 Te 2.87-2.90, 4 Cd 2.99
Os (0.5000, 0.0000, 0.0000)  4 Te 2.87-2.90, 4 Cd 2.99